A plane-wave DFT calculation with PBE was carried out for an optimized crystal structure of Cd3NiH.

Summary:
* excess energy over the best structure of this formula in the dataset: 0 meV/atom
* electronic total energy: -2.01 eV/atom

Geometry as CIF:
```
data_Cd3NiH
_cell_length_a 4.2870
_cell_length_b 4.2870
_cell_length_c 4.2870
_cell_angle_alpha 90.00
_cell_angle_beta 90.00
_cell_angle_gamma 90.00
_symmetry_space_group_name_H-M 'P m -3 m'
_symmetry_Int_Tables_number 221
_symmetry_space_group_name_Hall '-P 4 2 3'
loop_
_atom_site_label
_atom_site_type_symbol
_atom_site_fract_x
_atom_site_fract_y
_atom_site_fract_z
Cd1 Cd 0.0000 0.0000 0.5000
Ni1 Ni 0.5000 0.5000 0.5000
H1 H 0.0000 0.0000 0.0000
```



A plane-wave DFT calculation with PBE was carried out for an optimized crystal structure of Sr2GaMoPt.

Summary:
* E_form: 0.615 eV per atom
* electronic total energy: -4.04 eV/atom

Geometry as CIF:
```
data_Sr2GaMoPt
_cell_length_a 5.9905
_cell_length_b 5.9905
_cell_length_c 4.6143
_cell_angle_alpha 90.00
_cell_angle_beta 90.00
_cell_angle_gamma 90.00
_symmetry_space_group_name_H-M 'P 4/m m m'
_symmetry_Int_Tables_number 123
_symmetry_space_group_name_Hall '-P 4 2'
loop_
_atom_site_label
_atom_site_type_symbol
_atom_site_fract_x
_atom_site_fract_y
_atom_site_fract_z
Sr1 Sr 0.0000 0.5000 0.0000
Ga1 Ga 0.0000 0.0000 0.0000
Mo1 Mo 0.5000 0.5000 0.5000
Pt1 Pt 0.0000 0.0000 0.5000
```



A plane-wave DFT calculation with PBE was carried out for an optimized crystal structure of TbCe2Tl3S6.

Summary:
* formation energy from raw total energies: -1.426 eV per atom
* electronic total energy: -5.46 eV/atom

Geometry as CIF:
```
data_TbCe2Tl3S6
_cell_length_a 7.1858
_cell_length_b 12.4422
_cell_length_c 7.8630
_cell_angle_alpha 90.00
_cell_angle_beta 107.72
_cell_angle_gamma 90.00
_symmetry_space_group_name_H-M 'C 1 2/m 1'
_symmetry_Int_Tables_number 12
loop_
_symmetry_equiv_pos_as_xyz
'x,y,z'
'-x,-y,-z'
'-x,y,-z'
'x,-y,z'
'x+1/2,y+1/2,z'
'-x+1/2,-y+1/2,-z'
'-x+1/2,y+1/2,-z'
'x+1/2,-y+1/2,z'
loop_
_atom_site_label
_atom_site_type_symbol
_atom_site_fract_x
_atom_site_fract_y
_atom_site_fract_z
Tb1 Tb 0.0000 0.0000 0.0000
Ce1 Ce 0.0000 0.3333 0.0000
Tl1 Tl 0.0000 0.1661 0.5000
Tl2 Tl 0.0000 0.5000 0.5000
S1 S 0.2300 0.1633 0.1999
S2 S 0.2402 0.5000 0.2011
```



A plane-wave DFT calculation with PBE was carried out for an optimized crystal structure of CsTi3Te.

Summary:
* formation energy from raw total energies: 1.009 eV per atom
* electronic total energy: -4.53 eV/atom

Geometry as CIF:
```
data_CsTi3Te
_cell_length_a 5.2506
_cell_length_b 5.2506
_cell_length_c 5.2506
_cell_angle_alpha 90.00
_cell_angle_beta 90.00
_cell_angle_gamma 90.00
_symmetry_space_group_name_H-M 'P m -3 m'
_symmetry_Int_Tables_number 221
_symmetry_space_group_name_Hall '-P 4 2 3'
loop_
_atom_site_label
_atom_site_type_symbol
_atom_site_fract_x
_atom_site_fract_y
_atom_site_fract_z
Cs1 Cs 0.0000 0.0000 0.0000
Ti1 Ti 0.0000 0.5000 0.5000
Te1 Te 0.5000 0.5000 0.5000
```



A plane-wave DFT calculation with PBE was carried out for an optimized crystal structure of Sb2AsBr.

Summary:
* formation energy from raw total energies: -0.053 eV per atom
* excess energy over the best structure of this formula in the dataset: 0 meV/atom
* electronic total energy: -3.69 eV/atom

Geometry as CIF:
```
data_Sb2AsBr
_cell_length_a 11.9388
_cell_length_b 3.8383
_cell_length_c 7.1741
_cell_angle_alpha 90.00
_cell_angle_beta 104.86
_cell_angle_gamma 90.00
_symmetry_space_group_name_H-M 'C 1 m 1'
_symmetry_Int_Tables_number 8
loop_
_symmetry_equiv_pos_as_xyz
'x,y,z'
'x,-y,z'
'x+1/2,y+1/2,z'
'x+1/2,-y+1/2,z'
loop_
_atom_site_label
_atom_site_type_symbol
_atom_site_fract_x
_atom_site_fract_y
_atom_site_fract_z
Sb1 Sb 0.0000 0.0000 0.0000
Sb2 Sb 0.1669 0.5000 0.3096
As1 As 0.2259 0.0000 0.0841
Br1 Br 0.4454 0.0000 0.6899
```



A plane-wave DFT calculation with PBE was carried out for an optimized crystal structure of SrAc2InO6.

Summary:
* formation energy from raw total energies: -2.415 eV per atom
* electronic total energy: -6.65 eV/atom

Geometry as CIF:
```
data_SrAc2InO6
_cell_length_a 5.7308
_cell_length_b 5.7308
_cell_length_c 5.7025
_cell_angle_alpha 90.00
_cell_angle_beta 90.00
_cell_angle_gamma 90.00
_symmetry_space_group_name_H-M 'P 4 m m'
_symmetry_Int_Tables_number 99
loop_
_symmetry_equiv_pos_as_xyz
'x,y,z'
'-y,x,z'
'-x,-y,z'
'y,-x,z'
'-x,y,z'
'y,x,z'
'x,-y,z'
'-y,-x,z'
loop_
_atom_site_label
_atom_site_type_symbol
_atom_site_fract_x
_atom_site_fract_y
_atom_site_fract_z
Sr1 Sr 0.0000 0.0000 0.0000
Ac1 Ac 0.0000 0.5000 0.4456
In1 In 0.5000 0.5000 0.0378
O1 O 0.0000 0.0000 0.5789
O2 O 0.2593 0.2593 0.1990
O3 O 0.5000 0.5000 0.6719
```



A plane-wave DFT calculation with PBE was carried out for an optimized crystal structure of TiReTc2.

Summary:
* E_form: -0.274 eV per atom
* excess energy over the best structure of this formula in the dataset: 0 meV/atom
* electronic total energy: -10.54 eV/atom

Geometry as CIF:
```
data_TiReTc2
_cell_length_a 4.3943
_cell_length_b 4.3943
_cell_length_c 3.0800
_cell_angle_alpha 90.00
_cell_angle_beta 90.00
_cell_angle_gamma 90.00
_symmetry_space_group_name_H-M 'P 4/m m m'
_symmetry_Int_Tables_number 123
_symmetry_space_group_name_Hall '-P 4 2'
loop_
_atom_site_label
_atom_site_type_symbol
_atom_site_fract_x
_atom_site_fract_y
_atom_site_fract_z
Ti1 Ti 0.0000 0.0000 0.0000
Re1 Re 0.5000 0.5000 0.0000
Tc1 Tc 0.0000 0.5000 0.5000
```



A plane-wave DFT calculation with PBE was carried out for an optimized crystal structure of Tc2As3.

Summary:
* E_form: -0.177 eV per atom
* electronic total energy: -7.11 eV/atom

Geometry as CIF:
```
data_Tc2As3
_cell_length_a 6.0169
_cell_length_b 6.0169
_cell_length_c 17.4032
_cell_angle_alpha 90.00
_cell_angle_beta 90.00
_cell_angle_gamma 120.00
_symmetry_space_group_name_H-M 'R -3 c'
_symmetry_Int_Tables_number 167
_symmetry_space_group_name_Hall '-R 3 2"c'
loop_
_atom_site_label
_atom_site_type_symbol
_atom_site_fract_x
_atom_site_fract_y
_atom_site_fract_z
Tc1 Tc 0.0000 0.0000 0.1679
As1 As 0.0000 0.3542 0.2500
```



Question: electronic total energy of number 7 (TiReTc2)?
Answer: -10.54 eV/atom